Density functional theory data (PBE with a Hubbard U) for MnZnSiO5 after structural relaxation.

Properties
symmetry: No. 2
final energy: -107.3 eV per cell

Cell: 5.3122 5.3634 7.1163 Å, 107.80 108.02 97.89°
Last column: nearest neighbours and their distance in Å.
Sites, in units of the cell vectors:
Mn1 0.0000 0.0000 0.0000  6 O 1.89-1.95
Mn2 0.0000 0.0000 0.5000  6 O 1.90-1.95
Zn1 0.2677 0.6353 0.2435  3 O 1.95-2.14
Zn2 0.7323 0.3647 0.7565  3 O 1.95-2.14
Si1 0.3221 0.6390 0.7476  4 O 1.64-1.66
Si2 0.6779 0.3610 0.2524  4 O 1.64-1.66
O1 0.0995 0.9384 0.2579  2 Mn 1.89-1.90, 1 Zn 1.95
O2 0.1299 0.6821 0.8928  1 Si 1.65
O3 0.2294 0.7596 0.5583  1 Si 1.64
O4 0.3154 0.3140 0.6513  1 Si 1.66
O5 0.3492 0.2558 0.1039  1 Si 1.65
O6 0.6508 0.7442 0.8961  1 Si 1.65
O7 0.6846 0.6860 0.3487  1 Si 1.66
O8 0.7706 0.2404 0.4417  1 Si 1.64
O9 0.8701 0.3179 0.1072  1 Si 1.65
O10 0.9005 0.0616 0.7421  2 Mn 1.89-1.90, 1 Zn 1.95